No. 1
First-principles (PBE) data for NaTaGa2 after structural relaxation, as listed in Alexandria via LeMat-Bulk.

* energy of formation from the pure elements: 0.33 eV per atom
* crystal system: cubic
* spin magnetization: 0.00 μB per cell
* raw total energy: -4.473 eV/atom
* energy above the lowest structure with this stoichiometry: 0.0 meV per atom

```
data_NaTaGa2
_cell_length_a 6.614
_cell_length_b 6.614
_cell_length_c 6.614
_cell_angle_alpha 90.00
_cell_angle_beta 90.00
_cell_angle_gamma 90.00
_symmetry_space_group_name_H-M 'F m -3 m'
_symmetry_Int_Tables_number 225
_symmetry_space_group_name_Hall '-F 4 2 3'
loop_
_atom_site_label
_atom_site_fract_x
_atom_site_fract_y
_atom_site_fract_z
_atom_site_occupancy
Na1 0.000 0.000 0.000 1
Ta1 0.000 0.000 0.500 1
Ga1 0.250 0.250 0.250 1
```

***

No. 2
First-principles (PBE) data for TlCuBi after structural relaxation, as listed in Alexandria via LeMat-Bulk.

* energy of formation from the pure elements: 0.18 eV per atom
* crystal system: cubic
* spin magnetization: 0.00 μB per cell
* raw total energy: -3.265 eV/atom
* energy above the lowest structure with this stoichiometry: 106.0 meV per atom

```
data_TlCuBi
_cell_length_a 6.751
_cell_length_b 6.751
_cell_length_c 6.751
_cell_angle_alpha 90.00
_cell_angle_beta 90.00
_cell_angle_gamma 90.00
_symmetry_space_group_name_H-M 'F -4 3 m'
_symmetry_Int_Tables_number 216
_symmetry_space_group_name_Hall 'F -4 2 3'
loop_
_atom_site_label
_atom_site_fract_x
_atom_site_fract_y
_atom_site_fract_z
_atom_site_occupancy
Tl1 0.000 0.000 0.000 1
Cu1 0.250 0.250 0.250 1
Bi1 0.000 0.000 0.500 1
```